Computed, not measured: crystalline La2DyTmSe5 at its relaxed geometry at the PBE level of DFT.

Lattice parameters (Å, degrees): 5.0785 5.0785 10.7248 90.00 90.00 90.00
Each line ends with the local moment (μB).
Element x y z (fractional)
La: 0.5000 0.5000 0.2994  -0.13
La: 0.5000 0.5000 0.7006  -0.13
Dy: 0.0000 0.0000 0.0000  -0.01
Tm: 0.0000 0.0000 0.5000  -0.01
Se: 0.0000 0.5000 0.5000  0.00
Se: 0.5000 0.0000 0.5000  0.00
Se: 0.0000 0.0000 0.7540  0.00
Se: 0.0000 0.0000 0.2460  0.00
Se: 0.5000 0.5000 0.0000  0.00

Computed properties:
SG: P4/mmm (123)
total DFT energy (no corrections): -5.49 eV per atom